# Tm3Ga8Ag3

A geometry-optimized Tm3Ga8Ag3 structure (PBE, Alexandria via LeMat-Bulk).

Calculated values
- volume (Å³ per atom) = 18.9
- DFT formation energy (eV per atom) = -0.419
- raw total energy (eV/atom) = -3.718
- density of states at the Fermi level (states/eV per cell) = 2.23
- SG = Immm

Structure (CIF):
```
data_Tm3Ga8Ag3
_chemical_formula_sum 'Tm3 Ga8 Ag3'
_space_group_name_H-M_alt 'P 1'
_space_group_IT_number 1
_cell_length_a 8.308
_cell_length_b 8.308
_cell_length_c 8.308
_cell_angle_alpha 150.01
_cell_angle_beta 109.96
_cell_angle_gamma 78.02
loop_
_space_group_symop_operation_xyz
'x,y,z'
loop_
_atom_site_label
_atom_site_type_symbol
_atom_site_fract_x
_atom_site_fract_y
_atom_site_fract_z
_atom_site_occupancy
Tm1 Tm 0.000 0.000 0.000 1
Tm2 Tm 0.300 0.300 0.000 1
Tm3 Tm 0.700 0.700 0.000 1
Ga1 Ga 0.028 0.659 0.370 1
Ga2 Ga 0.139 0.856 0.282 1
Ga3 Ga 0.289 0.659 0.630 1
Ga4 Ga 0.426 0.144 0.282 1
Ga5 Ga 0.574 0.856 0.718 1
Ga6 Ga 0.711 0.341 0.370 1
Ga7 Ga 0.861 0.144 0.718 1
Ga8 Ga 0.972 0.341 0.630 1
Ag1 Ag 0.304 0.500 0.804 1
Ag2 Ag 0.500 0.000 0.500 1
Ag3 Ag 0.696 0.500 0.196 1
```

=====

# PI3Cl

A geometry-optimized PI3Cl structure (PBE, Alexandria via LeMat-Bulk).

Calculated values
- volume (Å³ per atom) = 32.8
- raw total energy (eV/atom) = -2.063
- density of states at the Fermi level (states/eV per cell) = 6.80
- SG = Pm-3m

Structure (CIF):
```
data_PI3Cl
_chemical_formula_sum 'P1 I3 Cl1'
_space_group_name_H-M_alt 'P 1'
_space_group_IT_number 1
_cell_length_a 5.474
_cell_length_b 5.474
_cell_length_c 5.474
_cell_angle_alpha 90.00
_cell_angle_beta 90.00
_cell_angle_gamma 90.00
loop_
_space_group_symop_operation_xyz
'x,y,z'
loop_
_atom_site_label
_atom_site_type_symbol
_atom_site_fract_x
_atom_site_fract_y
_atom_site_fract_z
_atom_site_occupancy
P1 P 0.000 0.000 0.000 1
I1 I 0.000 0.000 0.500 1
I2 I 0.000 0.500 0.000 1
I3 I 0.500 0.000 0.000 1
Cl1 Cl 0.500 0.500 0.500 1
```

=====

# KNa5Sb2

A geometry-optimized KNa5Sb2 structure (PBE, Alexandria via LeMat-Bulk).

Calculated values
- volume (Å³ per atom) = 36.9
- raw total energy (eV/atom) = -2.372
- density of states at the Fermi level (states/eV per cell) = 1.52
- SG = Immm

Structure (CIF):
```
data_KNa5Sb2
_chemical_formula_sum 'K1 Na5 Sb2'
_space_group_name_H-M_alt 'P 1'
_space_group_IT_number 1
_cell_length_a 8.013
_cell_length_b 8.013
_cell_length_c 8.013
_cell_angle_alpha 141.78
_cell_angle_beta 106.16
_cell_angle_gamma 86.33
loop_
_space_group_symop_operation_xyz
'x,y,z'
loop_
_atom_site_label
_atom_site_type_symbol
_atom_site_fract_x
_atom_site_fract_y
_atom_site_fract_z
_atom_site_occupancy
K1 K 0.000 0.000 0.000 1
Na1 Na 0.130 0.304 0.825 1
Na2 Na 0.479 0.304 0.175 1
Na3 Na 0.500 0.000 0.500 1
Na4 Na 0.521 0.696 0.825 1
Na5 Na 0.870 0.696 0.175 1
Sb1 Sb 0.240 0.740 0.500 1
Sb2 Sb 0.760 0.260 0.500 1
```

=====

# Rb3TiBe

A geometry-optimized Rb3TiBe structure (PBE, Alexandria via LeMat-Bulk).

Calculated values
- volume (Å³ per atom) = 57.4
- DFT formation energy (eV per atom) = 1.428
- raw total energy (eV/atom) = -1.477
- density of states at the Fermi level (states/eV per cell) = 17.68
- SG = Pm-3m

Structure (CIF):
```
data_Rb3TiBe
_chemical_formula_sum 'Rb3 Ti1 Be1'
_space_group_name_H-M_alt 'P 1'
_space_group_IT_number 1
_cell_length_a 6.596
_cell_length_b 6.596
_cell_length_c 6.596
_cell_angle_alpha 90.00
_cell_angle_beta 90.00
_cell_angle_gamma 90.00
loop_
_space_group_symop_operation_xyz
'x,y,z'
loop_
_atom_site_label
_atom_site_type_symbol
_atom_site_fract_x
_atom_site_fract_y
_atom_site_fract_z
_atom_site_occupancy
Rb1 Rb 0.000 0.000 0.500 1
Rb2 Rb 0.000 0.500 0.000 1
Rb3 Rb 0.500 0.000 0.000 1
Ti1 Ti 0.500 0.500 0.500 1
Be1 Be 0.000 0.000 0.000 1
```

=====

# Cr2Fe

A geometry-optimized Cr2Fe structure (PBE, Alexandria via LeMat-Bulk).

Calculated values
- volume (Å³ per atom) = 11.4
- DFT formation energy (eV per atom) = 0.093
- raw total energy (eV/atom) = -9.144
- density of states at the Fermi level (states/eV per cell) = 2.90
- SG = P-3m1

Structure (CIF):
```
data_Cr2Fe
_chemical_formula_sum 'Cr2 Fe1'
_space_group_name_H-M_alt 'P 1'
_space_group_IT_number 1
_cell_length_a 4.056
_cell_length_b 4.056
_cell_length_c 2.404
_cell_angle_alpha 90.00
_cell_angle_beta 90.00
_cell_angle_gamma 120.00
loop_
_space_group_symop_operation_xyz
'x,y,z'
loop_
_atom_site_label
_atom_site_type_symbol
_atom_site_fract_x
_atom_site_fract_y
_atom_site_fract_z
_atom_site_occupancy
Cr1 Cr 0.333 0.667 0.347 1
Cr2 Cr 0.667 0.333 0.653 1
Fe1 Fe 0.000 0.000 0.000 1
```

=====

# Ti7In2Pd2

A geometry-optimized Ti7In2Pd2 structure (PBE, Alexandria via LeMat-Bulk).

Calculated values
- volume (Å³ per atom) = 17.8
- DFT formation energy (eV per atom) = -0.055
- raw total energy (eV/atom) = -6.521
- density of states at the Fermi level (states/eV per cell) = 15.36
- SG = C2/m

Structure (CIF):
```
data_Ti7In2Pd2
_chemical_formula_sum 'Ti7 In2 Pd2'
_space_group_name_H-M_alt 'P 1'
_space_group_IT_number 1
_cell_length_a 6.811
_cell_length_b 6.811
_cell_length_c 4.796
_cell_angle_alpha 110.41
_cell_angle_beta 110.41
_cell_angle_gamma 82.16
loop_
_space_group_symop_operation_xyz
'x,y,z'
loop_
_atom_site_label
_atom_site_type_symbol
_atom_site_fract_x
_atom_site_fract_y
_atom_site_fract_z
_atom_site_occupancy
Ti1 Ti 0.000 0.000 0.000 1
Ti2 Ti 0.009 0.387 0.200 1
Ti3 Ti 0.387 0.009 0.200 1
Ti4 Ti 0.490 0.490 0.237 1
Ti5 Ti 0.510 0.510 0.763 1
Ti6 Ti 0.613 0.991 0.800 1
Ti7 Ti 0.991 0.613 0.800 1
In1 In 0.207 0.793 0.500 1
In2 In 0.793 0.207 0.500 1
Pd1 Pd 0.224 0.224 0.723 1
Pd2 Pd 0.776 0.776 0.277 1
```